No. 1
Density functional theory data (PBE) for a geometry-optimized PaSiPb structure.

Cell: 7.0154 7.0154 7.0154 Å, 90.00 90.00 90.00°
Closest atoms and distances in Å follow each position.
Space group F-43m (No. 216)
Symmetry-distinct sites (fractional):
Pa 0.0000 0.0000 0.0000 (multiplicity 4)  4 Pb 3.04, 4 Si 3.04
Si 0.2500 0.2500 0.2500 (multiplicity 4)  4 Pa 3.04
Pb 0.2500 0.2500 0.7500 (multiplicity 4)  4 Pa 3.04

Calculated values
- final energy (eV per cell) = -69.13


No. 2
Density functional theory data (PBE) for a geometry-optimized MgCoCuW structure.

Cell: 5.9748 5.9748 5.9748 Å, 90.00 90.00 90.00°
Closest atoms and distances in Å follow each position.
Space group F-43m (No. 216)
Symmetry-distinct sites (fractional):
Mg 0.0000 0.0000 0.0000 (multiplicity 4)  4 W 2.59, 4 Cu 2.59
Co 0.0000 0.0000 0.5000 (multiplicity 4)  4 W 2.59, 4 Cu 2.59
Cu 0.2500 0.2500 0.7500 (multiplicity 4)  4 Co 2.59, 4 Mg 2.59
W 0.2500 0.2500 0.2500 (multiplicity 4)  4 Co 2.59, 4 Mg 2.59

Calculated values
- final energy (eV per cell) = -95.74


No. 3
Density functional theory data (PBE) for a geometry-optimized PmTmTa structure.

Cell: 7.0939 7.0939 7.0939 Å, 90.00 90.00 90.00°
Closest atoms and distances in Å follow each position.
Space group F-43m (No. 216)
Symmetry-distinct sites (fractional):
Pm 0.0000 0.0000 0.0000 (multiplicity 4)  4 Tm 3.07
Tm 0.2500 0.2500 0.2500 (multiplicity 4)  4 Ta 3.07, 4 Pm 3.07
Ta 0.0000 0.0000 0.5000 (multiplicity 4)  4 Tm 3.07

Calculated values
- final energy (eV per cell) = -69.02
- ΔH_f (0 K) (eV/atom) = 1.27


No. 4
Density functional theory data (PBE) for a geometry-optimized YFeSnAu structure.

Cell: 6.8027 6.8027 6.8027 Å, 90.00 90.00 90.00°
Closest atoms and distances in Å follow each position.
Space group F-43m (No. 216)
Symmetry-distinct sites (fractional):
Y 0.0000 0.0000 0.0000 (multiplicity 4)  4 Sn 2.95, 4 Au 2.95
Fe 0.0000 0.0000 0.5000 (multiplicity 4)  4 Sn 2.95, 4 Au 2.95
Sn 0.2500 0.2500 0.2500 (multiplicity 4)  4 Fe 2.95, 4 Y 2.95
Au 0.2500 0.2500 0.7500 (multiplicity 4)  4 Fe 2.95, 4 Y 2.95

Calculated values
- final energy (eV per cell) = -91.34


No. 5
Density functional theory data (PBE) for a geometry-optimized NaGdBeTe3 structure.

Cell: 4.2119 14.5149 11.6680 Å, 90.00 90.00 90.00°
Closest atoms and distances in Å follow each position.
Space group Cmcm (No. 63)
Symmetry-distinct sites (fractional):
Na 0.0000 0.2451 0.2500 (multiplicity 4)  6 Te 3.27-3.38
Gd 0.0000 0.0000 0.0000 (multiplicity 4)  6 Te 3.07-3.10
Be 0.0000 0.4656 0.7500 (multiplicity 4)  4 Te 2.48-2.62
Te 0.0000 0.0726 0.7500 (multiplicity 4)  2 Be 2.62
Te 0.0000 0.3613 0.5819 (multiplicity 8)  1 Be 2.48

Calculated values
- final energy (eV per cell) = -98.92


No. 6
Density functional theory data (PBE) for a geometry-optimized YMgCdIn structure.

Cell: 7.2693 7.2693 7.2693 Å, 90.00 90.00 90.00°
Closest atoms and distances in Å follow each position.
Space group F-43m (No. 216)
Symmetry-distinct sites (fractional):
Y 0.0000 0.0000 0.0000 (multiplicity 4)  4 Cd 3.15, 4 Mg 3.15
Mg 0.2500 0.2500 0.7500 (multiplicity 4)  4 In 3.15, 4 Y 3.15
Cd 0.2500 0.2500 0.2500 (multiplicity 4)  4 In 3.15, 4 Y 3.15
In 0.0000 0.0000 0.5000 (multiplicity 4)  4 Cd 3.15, 4 Mg 3.15

Calculated values
- final energy (eV per cell) = -49.31


No. 7
Density functional theory data (PBE) for a geometry-optimized Tl3Pd2Pb structure.

Cell: 5.9040 9.6680 9.7393 Å, 90.00 90.00 90.00°
Closest atoms and distances in Å follow each position.
Space group Fmm2 (No. 42)
Symmetry-distinct sites (fractional):
Tl 0.0000 0.0000 0.0000 (multiplicity 4)  4 Pd 2.95, 1 Pb 3.17
Tl 0.0000 0.1648 0.6636 (multiplicity 8)  4 Pd 2.96-2.97, 1 Tl 3.19
Pd 0.2500 0.2500 0.4142 (multiplicity 8)  2 Pd 2.95, 6 Tl 2.95-2.97, 2 Pb 2.96
Pb 0.0000 0.0000 0.3253 (multiplicity 4)  4 Pd 2.96, 1 Tl 3.17

Calculated values
- final energy (eV per cell) = -88.18


No. 8
Density functional theory data (PBE) for a geometry-optimized RbHoSeO structure.

Cell: 8.0964 7.4139 6.5801 Å, 90.00 100.94 90.00°
Closest atoms and distances in Å follow each position.
Space group P2_1/c (No. 14)
Symmetry-distinct sites (fractional):
Rb 0.0891 0.2152 0.4817 (multiplicity 4)  1 O 2.85
Ho 0.4782 0.6280 0.7803 (multiplicity 4)  3 O 2.22-2.26
Se 0.2541 0.5923 0.3668 (multiplicity 4)  3 Ho 2.88-3.02
O 0.4116 0.1472 0.3849 (multiplicity 4)  3 Ho 2.22-2.26

Calculated values
- final energy (eV per cell) = -91.64


No. 9
Density functional theory data (PBE) for a geometry-optimized Pr2Y2CI2Br3 structure.

Cell: 18.4853 3.9354 8.4032 Å, 90.00 102.10 90.00°
Closest atoms and distances in Å follow each position.
Space group C2/m (No. 12)
Symmetry-distinct sites (fractional):
Pr 0.1400 0.0000 0.0658 (multiplicity 4)  1 C 2.53
Y 0.0020 0.5000 0.8035 (multiplicity 4)  2 C 2.57
C 0.0000 0.0000 0.0000 (multiplicity 2)  2 Pr 2.53, 4 Y 2.57
I 0.1634 0.5000 0.3627 (multiplicity 4)  1 Y 3.08, 2 Pr 3.14
Br 0.0000 0.0000 0.5000 (multiplicity 2)  4 Y 3.22
Br 0.1642 0.5000 0.8109 (multiplicity 4)  1 Y 2.99, 2 Pr 3.01

Calculated values
- final energy (eV per cell) = -105.26


No. 10
Density functional theory data (PBE) for a geometry-optimized UBAs structure.

Cell: 6.1726 6.1726 6.1726 Å, 90.00 90.00 90.00°
Closest atoms and distances in Å follow each position.
Space group F-43m (No. 216)
Symmetry-distinct sites (fractional):
U 0.0000 0.0000 0.0000 (multiplicity 4)  4 As 2.67
B 0.0000 0.0000 0.5000 (multiplicity 4)  4 As 2.67
As 0.2500 0.2500 0.7500 (multiplicity 4)  4 B 2.67, 4 U 2.67

Calculated values
- final energy (eV per cell) = -79.76


No. 11
Density functional theory data (PBE) for a geometry-optimized RbPd structure.

Cell: 6.6234 6.6234 6.6234 Å, 90.00 90.00 90.00°
Closest atoms and distances in Å follow each position.
Space group Fm-3m (No. 225)
Symmetry-distinct sites (fractional):
Rb 0.0000 0.0000 0.0000 (multiplicity 4)  6 Pd 3.31
Pd 0.0000 0.0000 0.5000 (multiplicity 4)  6 Rb 3.31

Calculated values
- final energy (eV per cell) = -19.56


No. 12
Density functional theory data (PBE) for a geometry-optimized Er structure.

Cell: 3.5075 3.5075 11.2832 Å, 90.00 90.00 120.00°
Closest atoms and distances in Å follow each position.
Space group P6_3/mmc (No. 194)
Symmetry-distinct sites (fractional):
Er 0.0000 0.0000 0.0000 (multiplicity 2)  12 Er 3.47-3.51
Er 0.3333 0.6667 0.2500 (multiplicity 2)  12 Er 3.47-3.51

Calculated values
- final energy (eV per cell) = -18.23
- ΔH_f (0 K) (eV/atom) = 0.01